Entry 1:
{
  "formula": "FeHgMo2Os",
  "functional": "PBE",
  "state": "optimized geometry",
  "sg": "P4/mmm (123)",
  "density_g_cm3": 10.13,
  "dft_energy_ev_per_fu": -34.4,
  "formation_enthalpy_0k_kj_per_mol_atoms": 140.3,
  "total_magnetization_mub_per_cell": 2.23,
  "cell": [[4.7514, 0.0000, 0.0000], [0.0000, 4.6351, 0.0000], [0.0000, 0.0000, 4.7514]],
  "species": ["Mo", "Mo", "Fe", "Os", "Hg"],
  "fractional_positions": [[0.0000, 0.0000, 0.5000], [0.5000, 0.0000, 0.0000], [0.0000, 0.5000, 0.0000], [0.0000, 0.0000, 0.0000], [0.5000, 0.5000, 0.5000]]
}

=====

Entry 2:
{
  "formula": "FeHg2MoRh",
  "functional": "PBE",
  "state": "optimized geometry",
  "sg": "P4/mmm (123)",
  "density_g_cm3": 9.21,
  "dft_energy_ev_per_fu": -19.5,
  "formation_enthalpy_0k_kj_per_mol_atoms": 150.5,
  "total_magnetization_mub_per_cell": 2.63,
  "cell": [[-4.5824, -1.7438, 1.8403], [2.0862, -2.6726, 2.6623], [0.0640, 3.7206, 3.6849]],
  "species": ["Hg", "Hg", "Fe", "Rh", "Mo"],
  "fractional_positions": [[0.5000, 0.0000, 0.0000], [0.0000, 0.0000, 0.5000], [0.0000, 0.5000, 0.0000], [0.5000, 0.5000, 0.5000], [0.0000, 0.0000, 0.0000]]
}

=====

Entry 3:
{
  "formula": "FeHg3N",
  "functional": "PBE",
  "state": "optimized geometry",
  "sg": "Pm-3m (221)",
  "density_g_cm3": 10.80,
  "e_above_lowest_polymorph_mev_per_atom": 0,
  "e_form_raw_mev_per_atom": 1286,
  "dft_energy_ev_per_fu": -11.3,
  "total_magnetization_mub_per_cell": 3.22,
  "cell": [[4.6914, 0.0000, 0.0000], [0.0000, 4.6914, 0.0000], [0.0000, 0.0000, 4.6914]],
  "species": ["Hg", "Hg", "Hg", "N", "Fe"],
  "fractional_positions": [[0.0000, 0.0000, 0.5000], [0.5000, 0.0000, 0.0000], [0.0000, 0.5000, 0.0000], [0.0000, 0.0000, 0.0000], [0.5000, 0.5000, 0.5000]]
}

=====

Entry 4:
{
  "formula": "FeHg2N",
  "functional": "PBE",
  "state": "optimized geometry",
  "sg": "I4_1/amd (141)",
  "density_g_cm3": 8.92,
  "e_form_raw_mev_per_atom": 632,
  "dft_energy_ev_per_fu": -14.9,
  "total_magnetization_mub_per_cell": 0.00,
  "cell": [[-3.5383, -3.5229, -8.7416], [-8.6629, -2.4623, 4.4987], [-6.7386, -1.4281, -2.4937]],
  "species": ["Hg", "Hg", "Hg", "Hg", "N", "N", "Fe", "Fe"],
  "fractional_positions": [[0.8750, 0.6248, 0.7500], [0.3750, 0.6252, 0.7500], [0.3752, 0.6250, 0.2500], [0.3748, 0.1250, 0.2500], [0.2500, 0.7500, 0.5000], [0.5000, 0.5000, 0.0000], [0.7500, 0.2500, 0.5000], [0.0000, 0.0000, 0.0000]]
}

=====

Entry 5:
{
  "formula": "FeHg3N",
  "functional": "PBE",
  "state": "optimized geometry",
  "sg": "Pm-3m (221)",
  "density_g_cm3": 7.96,
  "e_above_lowest_polymorph_mev_per_atom": 53,
  "e_form_raw_mev_per_atom": 1339,
  "dft_energy_ev_per_fu": -11.0,
  "total_magnetization_mub_per_cell": 5.27,
  "cell": [[5.1931, 0.0000, 0.0000], [0.0000, 5.1931, 0.0000], [0.0000, 0.0000, 5.1931]],
  "species": ["Hg", "Hg", "Hg", "N", "Fe"],
  "fractional_positions": [[0.0000, 0.0000, 0.5000], [0.5000, 0.0000, 0.0000], [0.0000, 0.5000, 0.0000], [0.5000, 0.5000, 0.5000], [0.0000, 0.0000, 0.0000]]
}

=====

Entry 6:
{
  "formula": "FeHgN2",
  "functional": "PBE",
  "state": "optimized geometry",
  "sg": "R-3m (166)",
  "density_g_cm3": 7.92,
  "e_form_raw_mev_per_atom": 1379,
  "dft_energy_ev_per_fu": -19.9,
  "total_magnetization_mub_per_cell": 2.12,
  "cell": [[1.9586, 0.0000, 5.9861], [-0.9793, 1.6962, 5.9861], [-0.9793, -1.6962, 5.9861]],
  "species": ["Hg", "N", "N", "Fe"],
  "fractional_positions": [[0.5000, 0.5000, 0.5000], [0.0981, 0.0981, 0.0981], [0.9019, 0.9019, 0.9019], [0.0000, 0.0000, 0.0000]]
}

=====

Entry 7:
{
  "formula": "FeHgN3",
  "functional": "PBE",
  "state": "optimized geometry",
  "sg": "Pm-3m (221)",
  "density_g_cm3": 9.30,
  "e_form_raw_mev_per_atom": 1511,
  "dft_energy_ev_per_fu": -26.2,
  "total_magnetization_mub_per_cell": 0.02,
  "cell": [[-1.3838, -2.8361, 2.0512], [2.3231, 0.9057, 2.8193], [-2.6181, 2.3026, 1.4175]],
  "species": ["N", "N", "N", "Fe", "Hg"],
  "fractional_positions": [[0.0000, 0.5000, 0.0000], [0.5000, 0.0000, 0.0000], [0.0000, 0.0000, 0.5000], [0.0000, 0.0000, 0.0000], [0.5000, 0.5000, 0.5000]]
}

=====

Entry 8:
{
  "formula": "FeHgN2",
  "functional": "PBE",
  "state": "optimized geometry",
  "sg": "I-42d (122)",
  "density_g_cm3": 8.19,
  "e_form_raw_mev_per_atom": 578,
  "dft_energy_ev_per_fu": -23.1,
  "total_magnetization_mub_per_cell": 0.00,
  "cell": [[5.3880, 0.0000, 0.0000], [0.0000, 5.3880, 0.0000], [2.6940, 2.6940, 3.9713]],
  "species": ["Hg", "Hg", "N", "N", "N", "N", "Fe", "Fe"],
  "fractional_positions": [[0.7500, 0.2500, 0.5000], [0.0000, 0.0000, 0.0000], [0.4638, 0.1250, 0.2500], [0.8750, 0.7138, 0.7500], [0.2862, 0.6250, 0.2500], [0.3750, 0.5362, 0.7500], [0.2500, 0.7500, 0.5000], [0.5000, 0.5000, 0.0000]]
}